! Tl2Ni2PtO6 (GGA+U, relaxed); values from VASP
! crystal system	monoclinic
! raw total energy	-53.14	eV for the cell shown
! calculated volume	151	Å³ per cell
! space-group type	No. 12
! Fermi-level density of states	0.3431	states/eV per atom
&SYSTEM
  ibrav = 0, nat = 11, ntyp = 4
/
ATOMIC_SPECIES
Tl 204.38 Tl.upf
O 16.00 O.upf
Ni 58.69 Ni.upf
Pt 195.08 Pt.upf
CELL_PARAMETERS angstrom
5.3880 -0.0197 0.0877
-2.6802 4.6741 0.0877
-0.9242 -1.5885 5.9453
ATOMIC_POSITIONS crystal
Tl 0.1669 0.8331 0.0000
O 0.0458 0.3746 0.6729
O 0.7334 0.7334 0.6778
O 0.3746 0.0458 0.6729
Ni 0.3352 0.6648 0.5000
O 0.2666 0.2666 0.3222
O 0.6254 0.9542 0.3271
Ni 0.6648 0.3352 0.5000
O 0.9542 0.6254 0.3271
Pt 0.0000 0.0000 0.5000
Tl 0.8331 0.1669 0.0000